Density functional theory data (GGA-PBE) for a relaxed structure of CaAsH2Rh.

a b c (Å): 3.9161 10.5237 6.1898
angles (deg): 90.00 90.00 90.00
Closest atoms and distances in Å follow each position.
Space group Cmcm (No. 63)
One atom of each set of equivalent atoms:
1 Ca 0.0000 0.2094 0.2500 [4 per cell]  6 H 2.34-2.37
2 As 0.0000 0.0731 0.7500 [4 per cell]  4 Rh 2.61, 4 H 2.85
3 H 0.0000 0.3420 0.5528 [8 per cell]  1 Rh 1.69
4 Rh 0.0000 0.5000 0.0000 [4 per cell]  2 H 1.69

Its energy is -0.1736 hartree per atom.